DFT (PBE) results for Al2NiMo after structural relaxation.

a b c (Å): 6.689 6.689 5.349
angles (deg): 90.00 90.00 90.00
Fractional positions:
Al (0.213, 0.250, 0.125)
Al (0.250, 0.713, 0.375)
Al (0.250, 0.787, 0.875)
Al (0.287, 0.250, 0.625)
Al (0.713, 0.750, 0.625)
Al (0.750, 0.213, 0.875)
Al (0.750, 0.287, 0.375)
Al (0.787, 0.750, 0.125)
Ni (0.000, 0.000, 0.000)
Ni (0.000, 0.500, 0.250)
Ni (0.500, 0.000, 0.750)
Ni (0.500, 0.500, 0.500)
Mo (0.000, 0.000, 0.500)
Mo (0.000, 0.500, 0.750)
Mo (0.500, 0.000, 0.250)
Mo (0.500, 0.500, 0.000)

For the density of states at the Fermi level, the calculation gives 3.3 states/eV/f.u. The calculated volume comes out at 239 Å³ per cell. The energy relative to the lowest polymorph listed for this composition is 0.467 eV/atom. Its crystal system is tetragonal. For the energy, the calculation gives -5.92 eV per atom.